(1)
The following is a PBE-GGA calculation of Tb3NdAl8 after structural relaxation, from Alexandria via LeMat-Bulk.

CIF file:
```
data_Tb3NdAl8
_cell_length_a 5.593
_cell_length_b 5.593
_cell_length_c 9.206
_cell_angle_alpha 90.00
_cell_angle_beta 90.00
_cell_angle_gamma 120.00
_space_group_name_H-M_alt 'P 1'
_space_group_IT_number 1
_space_group_name_Hall 'P 1'
loop_
_atom_site_label
_atom_site_type_symbol
_atom_site_fract_x
_atom_site_fract_y
_atom_site_fract_z
Al1 Al 0.162 0.838 0.248
Al2 Al 0.333 0.667 0.001
Al3 Al 0.676 0.838 0.248
Al4 Al 0.333 0.667 0.499
Al5 Al 0.505 0.495 0.753
Al6 Al 0.162 0.324 0.248
Al7 Al 0.991 0.495 0.753
Al8 Al 0.505 0.009 0.753
Nd1 Nd 0.000 0.000 0.568
Tb1 Tb 0.000 0.000 0.932
Tb2 Tb 0.667 0.333 0.431
Tb3 Tb 0.667 0.333 0.067
```

Calculated values
Calculated total energy = -0.33466 Ry/atom
Mass density = 5.57 g/cm³
Energy of formation = -11.61 kcal/mol of atoms
Distance to the lowest polymorph of the same formula = 9 meV per atom


(2)
The following is a PBE-GGA calculation of Tb2NdAl after structural relaxation, from Alexandria via LeMat-Bulk.

CIF file:
```
data_Tb2NdAl
_cell_length_a 4.802
_cell_length_b 4.830
_cell_length_c 4.830
_cell_angle_alpha 90.00
_cell_angle_beta 90.00
_cell_angle_gamma 90.00
_space_group_name_H-M_alt 'P 1'
_space_group_IT_number 1
_space_group_name_Hall 'P 1'
loop_
_atom_site_label
_atom_site_type_symbol
_atom_site_fract_x
_atom_site_fract_y
_atom_site_fract_z
Al1 Al 0.500 0.000 0.000
Tb1 Tb 0.000 0.500 0.000
Tb2 Tb 0.000 0.000 0.500
Nd1 Nd 0.500 0.500 0.500
```

Calculated values
Calculated total energy = -0.33922 Ry/atom
Mass density = 7.25 g/cm³
Energy of formation = -3.98 kcal/mol of atoms
Distance to the lowest polymorph of the same formula = 16 meV per atom


(3)
The following is a PBE-GGA calculation of TbNd2Al after structural relaxation, from Alexandria via LeMat-Bulk.

CIF file:
```
data_TbNd2Al
_cell_length_a 5.468
_cell_length_b 5.468
_cell_length_c 5.468
_cell_angle_alpha 60.00
_cell_angle_beta 60.00
_cell_angle_gamma 60.00
_space_group_name_H-M_alt 'P 1'
_space_group_IT_number 1
_space_group_name_Hall 'P 1'
loop_
_atom_site_label
_atom_site_type_symbol
_atom_site_fract_x
_atom_site_fract_y
_atom_site_fract_z
Al1 Al 0.500 0.500 0.500
Tb1 Tb 0.000 0.000 0.000
Nd1 Nd 0.750 0.750 0.750
Nd2 Nd 0.250 0.250 0.250
```

Calculated values
Calculated total energy = -0.33277 Ry/atom
Mass density = 6.81 g/cm³
Energy of formation = -1.16 kcal/mol of atoms
Distance to the lowest polymorph of the same formula = 129 meV per atom


(4)
The following is a PBE-GGA calculation of TbNd2Al2 after structural relaxation, from Alexandria via LeMat-Bulk.

CIF file:
```
data_TbNd2Al2
_cell_length_a 4.945
_cell_length_b 5.854
_cell_length_c 5.854
_cell_angle_alpha 71.63
_cell_angle_beta 65.02
_cell_angle_gamma 65.02
_space_group_name_H-M_alt 'P 1'
_space_group_IT_number 1
_space_group_name_Hall 'P 1'
loop_
_atom_site_label
_atom_site_type_symbol
_atom_site_fract_x
_atom_site_fract_y
_atom_site_fract_z
Nd1 Nd 0.802 0.698 0.698
Nd2 Nd 0.198 0.302 0.302
Tb1 Tb 0.000 0.000 0.000
Al1 Al 0.500 0.303 0.697
Al2 Al 0.500 0.697 0.303
```

Calculated values
Calculated total energy = -0.34090 Ry/atom
Mass density = 6.06 g/cm³
Energy of formation = -7.10 kcal/mol of atoms
Distance to the lowest polymorph of the same formula = 0 meV per atom


(5)
The following is a PBE-GGA calculation of Tb2NdAl after structural relaxation, from Alexandria via LeMat-Bulk.

CIF file:
```
data_Tb2NdAl
_cell_length_a 3.547
_cell_length_b 3.547
_cell_length_c 9.152
_cell_angle_alpha 90.00
_cell_angle_beta 90.00
_cell_angle_gamma 90.00
_space_group_name_H-M_alt 'P 1'
_space_group_IT_number 1
_space_group_name_Hall 'P 1'
loop_
_atom_site_label
_atom_site_type_symbol
_atom_site_fract_x
_atom_site_fract_y
_atom_site_fract_z
Al1 Al 0.500 0.500 0.000
Tb1 Tb 0.000 0.000 0.210
Tb2 Tb 0.000 0.000 0.790
Nd1 Nd 0.500 0.500 0.500
```

Calculated values
Calculated total energy = -0.34038 Ry/atom
Mass density = 7.05 g/cm³
Energy of formation = -4.34 kcal/mol of atoms
Distance to the lowest polymorph of the same formula = 0 meV per atom


(6)
The following is a PBE-GGA calculation of Tb2NdAl after structural relaxation, from Alexandria via LeMat-Bulk.

CIF file:
```
data_Tb2NdAl
_cell_length_a 5.416
_cell_length_b 5.416
_cell_length_c 5.416
_cell_angle_alpha 60.00
_cell_angle_beta 60.00
_cell_angle_gamma 60.00
_space_group_name_H-M_alt 'P 1'
_space_group_IT_number 1
_space_group_name_Hall 'P 1'
loop_
_atom_site_label
_atom_site_type_symbol
_atom_site_fract_x
_atom_site_fract_y
_atom_site_fract_z
Al1 Al 0.500 0.500 0.500
Tb1 Tb 0.750 0.750 0.750
Tb2 Tb 0.250 0.250 0.250
Nd1 Nd 0.000 0.000 0.000
```

Calculated values
Calculated total energy = -0.32674 Ry/atom
Mass density = 7.23 g/cm³
Energy of formation = -0.06 kcal/mol of atoms
Distance to the lowest polymorph of the same formula = 186 meV per atom


(7)
The following is a PBE-GGA calculation of Tb2NdAl after structural relaxation, from Alexandria via LeMat-Bulk.

CIF file:
```
data_Tb2NdAl
_cell_length_a 3.618
_cell_length_b 3.618
_cell_length_c 10.764
_cell_angle_alpha 80.32
_cell_angle_beta 80.32
_cell_angle_gamma 60.00
_space_group_name_H-M_alt 'P 1'
_space_group_IT_number 1
_space_group_name_Hall 'P 1'
loop_
_atom_site_label
_atom_site_type_symbol
_atom_site_fract_x
_atom_site_fract_y
_atom_site_fract_z
Tb1 Tb 0.262 0.262 0.213
Tb2 Tb 0.071 0.071 0.786
Al1 Al 0.666 0.666 0.001
Nd1 Nd 0.500 0.500 0.500
```

Calculated values
Calculated total energy = -0.33130 Ry/atom
Mass density = 6.78 g/cm³
Energy of formation = -1.50 kcal/mol of atoms
Distance to the lowest polymorph of the same formula = 124 meV per atom


(8)
The following is a PBE-GGA calculation of Tb4Nd2Al after structural relaxation, from Alexandria via LeMat-Bulk.

CIF file:
```
data_Tb4Nd2Al
_cell_length_a 3.629
_cell_length_b 3.629
_cell_length_c 19.425
_cell_angle_alpha 84.64
_cell_angle_beta 84.64
_cell_angle_gamma 60.00
_space_group_name_H-M_alt 'P 1'
_space_group_IT_number 1
_space_group_name_Hall 'P 1'
loop_
_atom_site_label
_atom_site_type_symbol
_atom_site_fract_x
_atom_site_fract_y
_atom_site_fract_z
Al1 Al 0.000 0.000 0.000
Tb1 Tb 0.295 0.295 0.116
Tb2 Tb 0.705 0.705 0.884
Tb3 Tb 0.089 0.089 0.732
Tb4 Tb 0.911 0.911 0.268
Nd1 Nd 0.807 0.807 0.580
Nd2 Nd 0.193 0.193 0.420
```

Calculated values
Calculated total energy = -0.33568 Ry/atom
Mass density = 7.17 g/cm³
Energy of formation = -0.56 kcal/mol of atoms